(1)
VASP calculation (PBE-GGA) on an optimized crystal structure of LiPr3Cd2.

Cell: 5.4718 5.4718 13.4221 Å, 90.00 90.00 120.00°
Last column: nearest neighbours and their distance in Å.
Element x y z (fractional)
Li 0.3333 0.6667 0.1676  8 Pr 3.35-3.36
Li 0.6667 0.3333 0.8324  8 Pr 3.35-3.36
Pr 0.0000 0.0000 0.2501  5 Cd 3.33-3.36, 3 Li 3.35
Pr 0.0000 0.0000 0.7499  5 Cd 3.33-3.36, 3 Li 3.35
Pr 0.3333 0.6667 0.4172  7 Cd 3.35-3.41, 1 Li 3.35
Pr 0.3333 0.6667 0.9178  4 Cd 3.31-3.35, 4 Li 3.35-3.36
Pr 0.6667 0.3333 0.0822  4 Cd 3.31-3.35, 4 Li 3.35-3.36
Pr 0.6667 0.3333 0.5828  7 Cd 3.35-3.41, 1 Li 3.35
Cd 0.0000 0.0000 0.0000  8 Pr 3.35-3.36
Cd 0.0000 0.0000 0.5000  8 Pr 3.35
Cd 0.3333 0.6667 0.6715  8 Pr 3.31-3.41
Cd 0.6667 0.3333 0.3285  8 Pr 3.31-3.41

Output
As for the space-group type: P-3m1. The value obtained for the offset from the most stable computed form is 0 meV per atom. The crystal system is trigonal. The energy relative to the elements comes out at -0.196 eV/atom.



(2)
VASP calculation (PBE-GGA) on an optimized crystal structure of La3HfSe.

Cell: 5.6534 5.6534 5.6534 Å, 90.00 90.00 90.00°
Last column: nearest neighbours and their distance in Å.
Element x y z (fractional)
La 0.0000 0.0000 0.5000  2 Hf 2.83
La 0.0000 0.5000 0.0000  2 Hf 2.83
La 0.5000 0.0000 0.0000  2 Hf 2.83
Hf 0.0000 0.0000 0.0000  6 La 2.83
Se 0.5000 0.5000 0.5000  12 La 4.00

Output
As for the space-group type: Pm-3m. The value obtained for the offset from the most stable computed form is 449 meV per atom. The crystal system is cubic. The formation energy (no corrections) comes out at 249 meV/atom.



(3)
VASP calculation (PBE-GGA) on an optimized crystal structure of Dy3Ga7Fe2.

Cell: 11.4160 11.4160 4.5232 Å, 90.00 90.00 157.23°
Last column: nearest neighbours and their distance in Å.
Element x y z (fractional)
Dy 0.0000 0.0000 0.0000  12 Ga 3.09-3.19
Dy 0.1853 0.8147 0.0000  10 Ga 3.03-3.26
Dy 0.8147 0.1853 0.0000  10 Ga 3.03-3.26
Ga 0.0952 0.9048 0.5000  2 Fe 2.27
Ga 0.2850 0.7150 0.5000  1 Fe 2.45, 2 Ga 2.74
Ga 0.4057 0.5943 0.0000  2 Fe 2.28
Ga 0.5000 0.5000 0.5000  2 Fe 2.36
Ga 0.5943 0.4057 0.0000  2 Fe 2.28
Ga 0.7150 0.2850 0.5000  1 Fe 2.45, 2 Ga 2.74
Ga 0.9048 0.0952 0.5000  2 Fe 2.27
Fe 0.3945 0.6055 0.5000  6 Ga 2.27-2.45
Fe 0.6055 0.3945 0.5000  6 Ga 2.27-2.45

Output
As for the space-group type: Cmmm. The crystal system is orthorhombic. The energy relative to the elements comes out at -0.400 eV/atom.



(4)
VASP calculation (PBE-GGA) on an optimized crystal structure of Al4TeBr.

Cell: 5.7428 5.7428 5.7428 Å, 60.00 60.00 60.00°
Last column: nearest neighbours and their distance in Å.
Element x y z (fractional)
Al 0.1252 0.1252 0.1252  6 Al 2.87-2.88
Al 0.1252 0.1252 0.6243  6 Al 2.87-2.88
Al 0.1252 0.6243 0.1252  6 Al 2.87-2.88
Al 0.6243 0.1252 0.1252  6 Al 2.87-2.88
Te 0.5000 0.5000 0.5000  12 Al 3.37, 4 Br 3.52
Br 0.7500 0.7500 0.7500  12 Al 3.37, 4 Te 3.52

Output
As for the space-group type: F-43m. The crystal system is cubic. The formation energy (no corrections) comes out at 198 meV/atom.



(5)
VASP calculation (PBE-GGA) on an optimized crystal structure of Pr2Y6Er3In.

Cell: 6.1244 6.1244 11.7560 Å, 94.98 94.98 120.02°
Last column: nearest neighbours and their distance in Å.
Element x y z (fractional)
Pr 0.1663 0.8337 0.0000  3 Pr 3.53-3.54, 3 In 3.53-3.54, 6 Y 3.56-3.57
Pr 0.8337 0.1663 0.0000  3 Pr 3.53-3.54, 3 In 3.53-3.54, 6 Y 3.56-3.57
Y 0.0900 0.4166 0.7493  6 Y 3.46-3.57, 3 Er 3.52-3.56, 1 In 3.52, 2 Pr 3.56
Y 0.2571 0.2571 0.2514  6 Y 3.46-3.57, 3 Er 3.51-3.55, 1 In 3.53, 2 Pr 3.57
Y 0.4166 0.0900 0.7493  6 Y 3.46-3.57, 3 Er 3.52-3.56, 1 In 3.52, 2 Pr 3.56
Y 0.5834 0.9100 0.2507  6 Y 3.46-3.57, 3 Er 3.52-3.56, 1 In 3.52, 2 Pr 3.56
Y 0.7429 0.7429 0.7486  6 Y 3.46-3.57, 3 Er 3.51-3.55, 1 In 3.53, 2 Pr 3.57
Y 0.9100 0.5834 0.2507  6 Y 3.46-3.57, 3 Er 3.52-3.56, 1 In 3.52, 2 Pr 3.56
Er 0.0000 0.0000 0.5000  6 Y 3.52-3.55, 6 Er 3.53-3.54
Er 0.3337 0.6663 0.5000  6 Y 3.51-3.56, 6 Er 3.53-3.54
Er 0.6663 0.3337 0.5000  6 Y 3.51-3.56, 6 Er 3.53-3.54
In 0.5000 0.5000 0.0000  6 Y 3.52-3.53, 6 Pr 3.53-3.54

Output
As for the space-group type: C2/m. The crystal system is monoclinic. The energy relative to the elements comes out at -0.055 eV/atom.



(6)
VASP calculation (PBE-GGA) on an optimized crystal structure of La3Sb2.

Cell: 10.1062 10.1062 12.4506 Å, 95.53 95.53 26.20°
Last column: nearest neighbours and their distance in Å.
Element x y z (fractional)
La 0.0000 0.0000 0.0000  6 Sb 3.24-3.27
La 0.0404 0.0404 0.6560  4 Sb 3.14-3.32
La 0.2896 0.2896 0.4088  3 Sb 3.33-3.34, 2 La 3.68
La 0.3264 0.3264 0.1017  4 Sb 3.17-3.21
La 0.3574 0.3574 0.7459  5 Sb 3.16-3.30
La 0.6426 0.6426 0.2541  5 Sb 3.16-3.30
La 0.6736 0.6736 0.8983  4 Sb 3.17-3.21
La 0.7104 0.7104 0.5912  3 Sb 3.33-3.34, 2 La 3.68
La 0.9596 0.9596 0.3440  4 Sb 3.14-3.32
Sb 0.1231 0.1231 0.4398  7 La 3.28-3.34
Sb 0.1640 0.1640 0.0766  6 La 3.18-3.27
Sb 0.4843 0.4843 0.1801  6 La 3.14-3.24
Sb 0.5157 0.5157 0.8199  6 La 3.14-3.24
Sb 0.8360 0.8360 0.9234  6 La 3.18-3.27
Sb 0.8769 0.8769 0.5602  7 La 3.28-3.34

Output
As for the space-group type: C2/m. The value obtained for the offset from the most stable computed form is 0 meV per atom. The crystal system is monoclinic. The formation energy (no corrections) comes out at -921 meV/atom.



no.,Fermi-level density of states (states/eV/atom),VASP energy (eV/atom)
1,1.264,-3.21
2,1.390,-5.40
3,0.523,-4.73
4,0.443,-3.10
5,1.395,-5.45
6,0.948,-5.53